(1)
Density functional theory data (PBE) for a geometry-optimized AgCl structure.

The structure in POSCAR format:
```
AgCl
1.0
3.757 0.000 0.000
-1.878 3.254 0.000
0.000 0.000 7.136
Ag Cl
2 2
Cartesian
0.000 2.169 1.784 Ag
1.878 1.085 5.352 Ag
0.000 0.000 3.568 Cl
0.000 0.000 0.000 Cl
```

E_form (uncorrected) = -37 kJ/mol of atoms

---

(2)
Density functional theory data (PBE) for a geometry-optimized AgCl structure.

The structure in POSCAR format:
```
AgCl
1.0
7.282 -0.015 -0.009
6.111 3.961 -0.009
6.111 1.800 3.528
Cl Ag
2 2
Cartesian
5.576 1.643 1.003 Cl
9.052 2.667 1.629 Cl
14.682 4.326 2.642 Ag
19.448 5.730 3.500 Ag
```

E_form (uncorrected) = -35 kJ/mol of atoms

---

(3)
Density functional theory data (PBE) for a geometry-optimized AgCl structure.

The structure in POSCAR format:
```
AgCl
1.0
8.242 0.000 0.000
0.000 8.242 0.000
0.000 0.000 8.242
Ag Cl
8 8
Cartesian
6.899 6.899 6.899 Ag
5.465 2.777 5.465 Ag
5.465 5.465 2.777 Ag
2.777 5.465 5.465 Ag
1.344 1.344 6.899 Ag
1.344 6.899 1.344 Ag
2.777 2.777 2.777 Ag
6.899 1.344 1.344 Ag
6.900 1.342 6.900 Cl
5.464 2.779 2.779 Cl
6.900 6.900 1.342 Cl
2.779 5.464 2.779 Cl
1.342 1.342 1.342 Cl
5.464 5.464 5.464 Cl
2.779 2.779 5.464 Cl
1.342 6.900 6.900 Cl
```

E_form (uncorrected) = -39 kJ/mol of atoms

---

(4)
Density functional theory data (PBE) for a geometry-optimized AgCl3 structure.

The structure in POSCAR format:
```
AgCl3
1.0
-1.997 1.357 -4.923
-0.877 -5.299 -1.104
-5.031 0.386 2.147
Cl Ag
6 2
Cartesian
-2.256 0.775 -1.925 Cl
-1.937 -1.632 -4.244 Cl
-3.173 -3.781 0.245 Cl
-4.772 0.968 -0.851 Cl
-0.938 -2.310 -1.783 Cl
-2.735 -1.132 0.798 Cl
0.000 0.000 0.000 Ag
-3.953 -1.778 -1.940 Ag
```

E_form (uncorrected) = 16 kJ/mol of atoms

---

(5)
Density functional theory data (PBE) for a geometry-optimized AgCl3 structure.

The structure in POSCAR format:
```
AgCl3
1.0
7.986 0.000 0.000
-3.993 6.916 0.000
0.000 0.000 6.827
Cl Ag
12 4
Cartesian
-1.997 3.458 0.000 Cl
2.377 5.983 5.120 Cl
3.993 0.000 0.000 Cl
3.993 5.050 1.707 Cl
1.997 3.458 3.414 Cl
-2.377 5.983 5.120 Cl
1.617 0.933 1.707 Cl
6.370 0.933 1.707 Cl
3.993 0.000 3.414 Cl
0.000 1.867 5.120 Cl
1.997 3.458 0.000 Cl
-1.997 3.458 3.414 Cl
0.000 0.000 3.414 Ag
0.000 4.611 1.707 Ag
0.000 0.000 0.000 Ag
3.993 2.305 5.120 Ag
```

E_form (uncorrected) = 11 kJ/mol of atoms

---

(6)
Density functional theory data (PBE) for a geometry-optimized AgCl3 structure.

The structure in POSCAR format:
```
AgCl3
1.0
3.736 0.000 0.000
0.000 7.507 0.000
0.000 0.000 3.731
Ag Cl
1 3
Cartesian
0.000 0.000 3.679 Ag
1.868 0.000 1.811 Cl
1.868 3.754 3.163 Cl
0.000 3.754 1.297 Cl
```

E_form (uncorrected) = -1 kJ/mol of atoms

---

(7)
Density functional theory data (PBE) for a geometry-optimized AgCl3 structure.

The structure in POSCAR format:
```
AgCl3
1.0
7.475 0.000 0.000
0.000 5.221 0.000
0.000 0.000 11.787
Cl Ag
12 4
Cartesian
1.869 4.560 4.819 Cl
5.606 0.662 10.713 Cl
1.869 4.560 1.074 Cl
1.869 1.949 1.074 Cl
5.606 3.272 10.713 Cl
1.869 0.661 8.841 Cl
1.869 3.272 8.841 Cl
5.607 4.560 2.947 Cl
5.606 1.949 2.947 Cl
1.869 1.949 4.819 Cl
5.606 3.272 6.968 Cl
5.606 0.662 6.968 Cl
7.104 1.969 8.841 Ag
4.109 4.579 8.841 Ag
3.366 0.642 2.947 Ag
0.371 3.253 2.947 Ag
```

E_form (uncorrected) = -6 kJ/mol of atoms

---

(8)
Density functional theory data (PBE) for a geometry-optimized AgCl3 structure.

The structure in POSCAR format:
```
AgCl3
1.0
-3.102 4.128 -0.568
0.508 1.028 4.677
8.941 6.772 0.331
Cl Ag
6 2
Cartesian
-0.921 4.525 2.231 Cl
7.268 7.403 2.209 Cl
2.875 7.180 0.808 Cl
3.472 4.748 3.633 Cl
-0.573 4.495 0.233 Cl
6.920 7.433 4.208 Cl
2.102 6.956 3.410 Ag
4.246 4.972 1.030 Ag
```

E_form (uncorrected) = -17 kJ/mol of atoms

---

(9)
Density functional theory data (PBE) for a geometry-optimized AgCl structure.

The structure in POSCAR format:
```
AgCl
1.0
2.609 -4.520 0.000
2.609 4.520 0.000
0.000 0.000 7.707
Ag Cl
4 4
Cartesian
2.609 -1.507 7.125 Ag
2.609 1.507 3.271 Ag
2.609 1.507 0.582 Ag
2.609 -1.507 4.436 Ag
2.609 -1.507 1.927 Cl
0.000 0.000 5.780 Cl
2.609 1.507 5.780 Cl
0.000 0.000 1.927 Cl
```

E_form (uncorrected) = 6 kJ/mol of atoms

---

(10)
Density functional theory data (PBE) for a geometry-optimized AgCl structure.

The structure in POSCAR format:
```
AgCl
1.0
6.819 -0.009 0.004
5.795 3.595 0.004
3.044 0.865 5.609
Cl Ag
3 3
Cartesian
12.646 3.594 2.647 Cl
3.091 0.879 4.410 Cl
3.221 0.915 0.765 Cl
8.334 2.369 2.441 Ag
5.759 1.637 0.761 Ag
11.312 3.215 4.894 Ag
```

E_form (uncorrected) = -40 kJ/mol of atoms

---

(11)
Density functional theory data (PBE) for a geometry-optimized AgCl structure.

The structure in POSCAR format:
```
AgCl
1.0
-3.965 0.015 -2.113
3.108 -3.061 -1.077
-4.444 -7.430 8.289
Cl Ag
4 4
Cartesian
0.234 -2.898 -0.460 Cl
-0.955 -4.887 1.759 Cl
-4.345 -5.589 3.339 Cl
-5.535 -7.578 5.558 Cl
-2.582 -7.608 4.794 Ag
-1.111 -1.858 2.072 Ag
-3.333 -5.573 6.216 Ag
-2.718 -2.868 0.305 Ag
```

E_form (uncorrected) = -5 kJ/mol of atoms

---

(12)
Density functional theory data (PBE) for a geometry-optimized AgCl3 structure.

The structure in POSCAR format:
```
AgCl3
1.0
-3.032 0.109 -0.553
-0.073 -3.076 -0.205
-1.967 -0.663 10.654
Cl Ag
3 1
Cartesian
-1.873 -1.592 1.358 Cl
-0.983 -0.332 5.327 Cl
-3.199 -2.039 8.538 Cl
0.000 0.000 0.000 Ag
```

E_form (uncorrected) = 19 kJ/mol of atoms

---

Number 1: uncorrected energy -2.729 eV/atom. Number 2: uncorrected energy -2.717 eV/atom. Number 3: uncorrected energy -2.757 eV/atom. Number 4: uncorrected energy -1.929 eV/atom. Number 5: uncorrected energy -1.982 eV/atom. Number 6: uncorrected energy -2.106 eV/atom. Number 7: uncorrected energy -2.155 eV/atom. Number 8: uncorrected energy -2.272 eV/atom. Number 9: uncorrected energy -2.290 eV/atom. Number 10: uncorrected energy -2.761 eV/atom. Number 11: uncorrected energy -2.396 eV/atom. Number 12: uncorrected energy -1.901 eV/atom.